# RbPt2Pb | Alexandria | PBE-GGA | relaxed
# total DFT energy (no corrections): -4.31 eV/atom
# formation enthalpy at 0 K: -124 meV per atom
# volume: 366.10 Å³ per cell
data_RbPt2Pb
_chemical_formula_sum 'Rb3 Pt6 Pb3'
_symmetry_space_group_name_H-M 'R -3 m'
_symmetry_Int_Tables_number 166
_symmetry_space_group_name_Hall '-R 3 2"'
_cell_length_a 4.7636
_cell_length_b 4.7636
_cell_length_c 18.6289
_cell_angle_alpha 90.00
_cell_angle_beta 90.00
_cell_angle_gamma 120.00
loop_
_atom_site_label
_atom_site_type_symbol
_atom_site_fract_x
_atom_site_fract_y
_atom_site_fract_z
_atom_site_occupancy
Rb1 Rb 0.0000 0.0000 0.0000 1
Pt1 Pt 0.0000 0.0000 0.1830 1
Pb1 Pb 0.0000 0.0000 0.5000 1